Record 1
Nd12MgIn3: optimized geometry, PBE.

```
data_Nd12MgIn3
_chemical_formula_sum 'Nd12 Mg1 In3'
_space_group_name_H-M_alt 'P 4/m m m'
_space_group_IT_number 123
_space_group_name_Hall '-P 4 2'
_cell_length_a 5.003
_cell_length_b 5.003
_cell_length_c 19.966
_cell_angle_alpha 90.00
_cell_angle_beta 90.00
_cell_angle_gamma 90.00
loop_
_atom_site_label
_atom_site_fract_x
_atom_site_fract_y
_atom_site_fract_z
Nd1 0.000 0.000 0.000
Nd2 0.000 0.000 0.249
Nd3 0.000 0.000 0.500
Nd4 0.000 0.500 0.126
Nd5 0.000 0.500 0.375
Mg1 0.500 0.500 0.000
In1 0.500 0.500 0.251
In2 0.500 0.500 0.500
```

Record 2
# Nd4MgIn2 | Alexandria | PBE | optimized geometry
# Energy above the most stable polymorph in this dataset, meV per atom: 112
data_Nd4MgIn2
_chemical_formula_sum 'Nd8 Mg2 In4'
_space_group_name_H-M_alt 'P 1 21/m 1'
_space_group_IT_number 11
_cell_length_a 7.877
_cell_length_b 6.470
_cell_length_c 9.251
_cell_angle_alpha 90.00
_cell_angle_beta 112.97
_cell_angle_gamma 90.00
loop_
_space_group_symop_operation_xyz
'x,y,z'
'-x,-y,-z'
'-x,y+1/2,-z'
'x,-y+1/2,z'
loop_
_atom_site_label
_atom_site_fract_x
_atom_site_fract_y
_atom_site_fract_z
Nd1 0.123 0.250 0.062
Nd2 0.140 0.003 0.722
Nd3 0.312 0.750 0.287
Mg1 0.453 0.750 0.662
In1 0.257 0.250 0.457
In2 0.477 0.750 0.011

Record 3
Nd9Mg2In: optimized geometry, PBE.

```
data_Nd9Mg2In
_chemical_formula_sum 'Nd9 Mg2 In1'
_space_group_name_H-M_alt 'P 4/m m m'
_space_group_IT_number 123
_space_group_name_Hall '-P 4 2'
_cell_length_a 5.021
_cell_length_b 5.021
_cell_length_c 15.074
_cell_angle_alpha 90.00
_cell_angle_beta 90.00
_cell_angle_gamma 90.00
loop_
_atom_site_label
_atom_site_fract_x
_atom_site_fract_y
_atom_site_fract_z
Nd1 0.000 0.000 0.000
Nd2 0.000 0.000 0.334
Nd3 0.000 0.500 0.164
Nd4 0.000 0.500 0.500
Mg1 0.500 0.500 0.333
In1 0.500 0.500 0.000
```

Record 4
Nd4Mg3In: optimized geometry, PBE.

```
data_Nd4Mg3In
_chemical_formula_sum 'Nd12 Mg9 In3'
_space_group_name_H-M_alt 'R -3 m'
_space_group_IT_number 166
_space_group_name_Hall '-R 3 2"'
_cell_length_a 5.4805
_cell_length_b 5.4805
_cell_length_c 26.9137
_cell_angle_alpha 90.00
_cell_angle_beta 90.00
_cell_angle_gamma 120.00
loop_
_atom_site_label
_atom_site_fract_x
_atom_site_fract_y
_atom_site_fract_z
Nd1 0.0000 0.0000 0.1249
Nd2 0.0000 0.0000 0.3750
Mg1 0.0000 0.0000 0.0000
Mg2 0.0000 0.0000 0.2517
In1 0.0000 0.0000 0.5000
```

Record 5
Nd3MgIn3: optimized geometry, PBE.

```
data_Nd3MgIn3
_chemical_formula_sum 'Nd12 Mg4 In12'
_space_group_name_H-M_alt 'C 1 2/m 1'
_space_group_IT_number 12
_cell_length_a 10.654
_cell_length_b 10.408
_cell_length_c 7.597
_cell_angle_alpha 90.00
_cell_angle_beta 91.35
_cell_angle_gamma 90.00
loop_
_space_group_symop_operation_xyz
'x,y,z'
'-x,-y,-z'
'-x,y,-z'
'x,-y,z'
'x+1/2,y+1/2,z'
'-x+1/2,-y+1/2,-z'
'-x+1/2,y+1/2,-z'
'x+1/2,-y+1/2,z'
loop_
_atom_site_label
_atom_site_fract_x
_atom_site_fract_y
_atom_site_fract_z
Nd1 0.033 0.000 0.257
Nd2 0.246 0.212 0.756
Mg1 0.136 0.500 0.908
In1 0.000 0.257 0.000
In2 0.000 0.288 0.500
In3 0.204 0.500 0.534
```

Record 6
# Nd4MgIn | Alexandria | PBE | optimized geometry
# Energy above the most stable polymorph in this dataset, meV per atom: 0
data_Nd4MgIn
_chemical_formula_sum 'Nd4 Mg1 In1'
_space_group_name_H-M_alt 'P m m m'
_space_group_IT_number 47
_cell_length_a 3.486
_cell_length_b 5.779
_cell_length_c 9.733
_cell_angle_alpha 90.00
_cell_angle_beta 90.00
_cell_angle_gamma 90.00
loop_
_space_group_symop_operation_xyz
'x,y,z'
'-x,-y,-z'
'-x,-y,z'
'x,y,-z'
'x,-y,-z'
'-x,y,z'
'-x,y,-z'
'x,-y,z'
loop_
_atom_site_label
_atom_site_fract_x
_atom_site_fract_y
_atom_site_fract_z
Nd1 0.000 0.000 0.192
Nd2 0.500 0.500 0.300
Mg1 0.500 0.000 0.500
In1 0.000 0.500 0.000

Record 7
Nd2MgIn9: optimized geometry, PBE.

```
data_Nd2MgIn9
_chemical_formula_sum 'Nd2 Mg1 In9'
_space_group_name_H-M_alt 'P 4/m m m'
_space_group_IT_number 123
_space_group_name_Hall '-P 4 2'
_cell_length_a 4.713
_cell_length_b 4.713
_cell_length_c 13.953
_cell_angle_alpha 90.00
_cell_angle_beta 90.00
_cell_angle_gamma 90.00
loop_
_atom_site_label
_atom_site_fract_x
_atom_site_fract_y
_atom_site_fract_z
Nd1 0.000 0.000 0.168
Mg1 0.000 0.000 0.500
In1 0.000 0.500 0.000
In2 0.000 0.500 0.343
In3 0.500 0.500 0.167
In4 0.500 0.500 0.500
```

Record 8
NdMgIn4: optimized geometry, PBE.

```
data_NdMgIn4
_chemical_formula_sum 'Nd4 Mg4 In16'
_space_group_name_H-M_alt 'F -4 3 m'
_space_group_IT_number 216
_space_group_name_Hall 'F -4 2 3'
_cell_length_a 8.610
_cell_length_b 8.610
_cell_length_c 8.610
_cell_angle_alpha 90.00
_cell_angle_beta 90.00
_cell_angle_gamma 90.00
loop_
_atom_site_label
_atom_site_fract_x
_atom_site_fract_y
_atom_site_fract_z
Nd1 0.000 0.000 0.000
Mg1 0.250 0.250 0.250
In1 0.125 0.125 0.625
```

Number 1: calculated formation energy -209 meV/atom, raw total energy -4.398 eV per atom. Number 2: calculated formation energy -151 meV/atom, raw total energy -3.885 eV per atom. Number 3: calculated formation energy -92 meV/atom, raw total energy -4.162 eV per atom. Number 4: calculated formation energy -220 meV/atom, raw total energy -3.544 eV per atom. Number 5: calculated formation energy -303 meV/atom, raw total energy -3.748 eV per atom. Number 6: calculated formation energy 19 meV/atom, raw total energy -3.882 eV per atom. Number 7: calculated formation energy -312 meV/atom, raw total energy -3.293 eV per atom. Number 8: calculated formation energy -129 meV/atom, raw total energy -3.015 eV per atom.